(1)
This record from Alexandria via LeMat-Bulk describes crystalline Cd15Rh at its relaxed geometry. The functional is PBE.

POSCAR file:
```
Cd15Rh
1.0
6.154 0.000 0.000
-3.077 5.329 0.000
0.000 0.000 10.366
Cd Rh
15 1
Direct
0.000 0.000 0.000
0.008 0.504 0.500
0.327 0.164 0.265
0.327 0.164 0.735
0.333 0.667 0.239
0.333 0.667 0.761
0.496 0.504 0.500
0.496 0.992 0.500
0.504 0.007 0.000
0.504 0.496 0.000
0.836 0.164 0.265
0.836 0.164 0.735
0.836 0.673 0.265
0.836 0.673 0.735
0.993 0.496 0.000
0.000 0.000 0.500
```

Calculated values
energy = -1.339 eV per atom

(2)
This record from Alexandria via LeMat-Bulk describes crystalline Nd2GdV at its relaxed geometry. The functional is PBE.

POSCAR file:
```
Nd2GdV
1.0
1.724 0.995 11.687
-1.724 0.995 11.687
0.000 -1.991 11.687
Nd Gd V
2 1 1
Direct
0.081 0.081 0.081
0.919 0.919 0.919
0.500 0.500 0.500
0.000 0.000 0.000
```

Calculated values
energy = -7.546 eV per atom

(3)
This record from Alexandria via LeMat-Bulk describes crystalline Tb5Nd8Sc at its relaxed geometry. The functional is PBE.

POSCAR file:
```
Tb5Nd8Sc
1.0
-4.855 4.855 5.098
4.855 -4.855 5.098
4.855 4.855 -5.098
Tb Nd Sc
5 8 1
Direct
0.000 0.000 0.000
0.320 0.219 0.691
0.371 0.680 0.899
0.528 0.629 0.309
0.781 0.472 0.101
0.024 0.762 0.604
0.059 0.331 0.898
0.158 0.420 0.396
0.238 0.842 0.262
0.433 0.161 0.102
0.580 0.976 0.738
0.669 0.567 0.728
0.839 0.941 0.272
0.750 0.250 0.500
```

Calculated values
energy = -4.572 eV per atom

(4)
This record from Alexandria via LeMat-Bulk describes crystalline BaZr2NbSi at its relaxed geometry. The functional is PBE.

POSCAR file:
```
BaZr2NbSi
1.0
5.264 0.000 0.000
0.000 5.264 0.000
0.000 0.000 5.102
Ba Zr Nb Si
1 2 1 1
Direct
0.000 0.000 0.000
0.000 0.500 0.000
0.500 0.000 0.000
0.500 0.500 0.500
0.000 0.000 0.500
```

Calculated values
ΔE_f (raw) = 2.2696 eV/atom

(5)
This record from Alexandria via LeMat-Bulk describes crystalline PIrRu2 at its relaxed geometry. The functional is PBE.

POSCAR file:
```
PIrRu2
1.0
1.398 0.807 8.048
-1.398 0.807 8.048
0.000 -1.614 8.048
P Ir Ru
1 1 2
Direct
0.000 0.000 0.000
0.500 0.500 0.500
0.259 0.259 0.259
0.741 0.741 0.741
```

Calculated values
energy = -8.295 eV per atom

| no. | DOS(E_F) (states/eV/atom) |
| --- | --- |
| 1 | 0.37 |
| 2 | 1.66 |
| 3 | 1.52 |
| 4 | 1.63 |
| 5 | 1.19 |